Record 1
First-principles (PBE) data for InGa2Mo after structural relaxation, as listed in Alexandria via LeMat-Bulk.

Properties
The calculation puts the energy of formation at 0.4779 eV per atom. The theoretical density comes out at 7.24 g cm⁻³. The magnetization comes out at 0.0 μB/f.u. The crystal system is tetragonal.

Lattice parameters (Å, degrees): 7.583 7.583 5.586 90.00 90.00 90.00
Space group I-42d (No. 122)
Asymmetric unit:
In 0.000 0.000 0.000 x4
Ga 0.212 0.250 0.625 x8
Mo 0.000 0.000 0.500 x4

Record 2
First-principles (PBE) data for Dy2PaCo after structural relaxation, as listed in Alexandria via LeMat-Bulk.

Properties
The calculation puts the energy of formation at 0.3148 eV per atom. The theoretical density comes out at 10.48 g cm⁻³. The magnetization comes out at 0.0 μB/f.u. The crystal system is trigonal.

Lattice parameters (Å, degrees): 3.3056 3.3056 30.8865 90.00 90.00 120.00
Space group R-3m (No. 166, hexagonal axes)
Asymmetric unit:
Dy 0.0000 0.0000 0.1062 x6
Pa 0.0000 0.0000 0.0000 x3
Co 0.0000 0.0000 0.5000 x3

Record 3
First-principles (PBE) data for Tb2TaNbN5 after structural relaxation, as listed in Alexandria via LeMat-Bulk.

Properties
The theoretical density comes out at 9.49 g cm⁻³. The magnetization comes out at 0.0 μB/f.u. The crystal system is orthorhombic. For the raw formation energy, the calculation gives -1.2799 eV per atom.

Lattice parameters (Å, degrees): 3.330 13.343 10.422 90.00 90.00 90.00
Space group Cmc2_1 (No. 36)
Asymmetric unit:
Tb 0.000 0.106 0.000 x4
Tb 0.000 0.145 0.596 x4
Ta 0.000 0.224 0.322 x4
Nb 0.000 0.470 0.771 x4
N 0.000 0.057 0.368 x4
N 0.000 0.278 0.958 x4
N 0.000 0.313 0.692 x4
N 0.000 0.372 0.313 x4
N 0.000 0.492 0.090 x4

Record 4
First-principles (PBE) data for FeReRu2 after structural relaxation, as listed in Alexandria via LeMat-Bulk.

Properties
The calculation puts the energy of formation at 0.0946 eV per atom. The theoretical density comes out at 13.68 g cm⁻³. The magnetization comes out at 0.9 μB/f.u. The crystal system is tetragonal.

Lattice parameters (Å, degrees): 3.773 3.773 7.575 90.00 90.00 90.00
Space group I-4m2 (No. 119)
Asymmetric unit:
Fe 0.000 0.000 0.000 x2
Re 0.000 0.500 0.750 x2
Ru 0.000 0.000 0.500 x2
Ru 0.000 0.500 0.250 x2

Which value of theoretical density does entry 2 give?
10.48 g cm⁻³